Computed, not measured: a geometry-optimized GeP2WS structure at the PBE level of DFT.

The structure in POSCAR format:
```
GeP2WS
1.0
-3.920 2.275 -1.552
-0.674 -3.410 -3.296
-2.554 -2.370 2.975
P Ge S W
2 1 1 1
direct
0.000 0.500 0.000 P
0.500 0.000 0.000 P
0.500 0.500 0.500 Ge
0.000 0.000 0.500 S
0.000 0.000 0.000 W
```


Computed, not measured: a geometry-optimized YGeP2S structure at the PBE level of DFT.

The structure in POSCAR format:
```
YGeP2S
1.0
-1.476 -0.441 5.018
2.676 -4.499 0.392
4.182 2.615 1.460
Y P Ge S
1 2 1 1
direct
0.000 0.000 0.000 Y
0.000 0.500 0.000 P
0.500 0.000 0.000 P
0.500 0.500 0.500 Ge
0.000 0.000 0.500 S
```


no.,uncorrected formation energy (eV/atom),total magnetic moment (μB/atom)
1,0.54,0.00
2,0.49,0.00